A plane-wave DFT calculation with GGA-PBE was carried out for a relaxed HoCdCl5 crystal.

The structure in POSCAR format:
```
HoCdCl5
1.0
-7.385 -0.374 0.453
-3.519 -6.466 -2.139
-2.687 -3.328 8.639
Cl Ho Cd
10 2 2
Cartesian
-4.220 -6.249 0.416
-5.025 -4.396 7.983
-6.234 -2.697 0.980
-7.261 -7.010 2.349
-6.329 -3.159 4.604
-9.371 -3.920 6.537
-2.390 -3.115 2.371
-8.566 -5.773 -1.031
-11.201 -7.054 4.581
-7.357 -7.472 5.973
-1.343 -1.664 4.319
0.000 0.000 0.000
-9.241 -8.633 4.761
-4.350 -1.536 2.191
```

Results
Polymorph energy (0 for the lowest one) ... 0 kJ/mol of formula units
Formation energy from raw total energies ... -12.0 eV/f.u.
E ... -3.82 eV per atom
Total moment ... 0.00 μB/f.u.